1.
First-principles (GGA-PBE) data for a geometry-optimized NdN4 structure, as listed in Alexandria.

a = 4.854 Å, b = 4.854 Å, c = 4.854 Å
α = 90.00°, β = 90.00°, γ = 90.00°
Space group Pm-3m (No. 221)
One atom of each set of equivalent atoms:
Nd: 0.000 0.000 0.000
N: 0.000 0.000 0.500
N: 0.500 0.500 0.500

2.
First-principles (GGA-PBE) data for a geometry-optimized NdN2 structure, as listed in Alexandria.

a = 12.364 Å, b = 4.831 Å, c = 6.219 Å
α = 90.00°, β = 116.64°, γ = 90.00°
Space group Cm (No. 8)
One atom of each set of equivalent atoms:
Nd: 0.000 0.000 0.000
Nd: 0.095 0.500 0.647
Nd: 0.316 0.500 0.402
N: 0.022 0.000 0.656
N: 0.067 0.500 0.220
N: 0.076 0.500 0.028
N: 0.252 0.000 0.225
N: 0.298 0.500 0.745
N: 0.360 0.000 0.320

Respective uncorrected energy values: -5.00; -7.71 eV per atom.
Respective formation energy from raw total energies values: 2.6100; -0.5672 eV per atom.
Respective total magnetization values: 9.00; 0.32 μB/f.u..